i) # CsAlOs

A geometry-optimized CsAlOs structure (PBE-GGA, OQMD).

Results
The space group is F-43m. For the volume, the calculation gives 105.3 Å³ per cell.

a = 5.3011 Å, b = 5.3011 Å, c = 5.3011 Å
α = 60.00°, β = 60.00°, γ = 60.00°
Sites, in units of the cell vectors:
Cs 0.0000 0.0000 0.0000
Al 0.7500 0.7500 0.7500
Os 0.2500 0.2500 0.2500

ii) # CsAlOs

A geometry-optimized CsAlOs structure (PBE-GGA, OQMD).

Results
The space group is F-43m. For the volume, the calculation gives 78.8 Å³ per cell.

a = 4.8115 Å, b = 4.8115 Å, c = 4.8115 Å
α = 60.00°, β = 60.00°, γ = 60.00°
Sites, in units of the cell vectors:
Cs 0.0000 0.0000 0.0000
Al 0.2500 0.2500 0.2500
Os 0.5000 0.5000 0.5000

Most stable pick: ii). Distance to second place: 749 meV per atom.